No. 1
Here is an optimized crystal structure of NdDySiGe from the Alexandria database. Energies are from PBE-GGA.

* energy: -45.27 eV for the cell shown
* magnetic moment: 0.00 μB/f.u.
* crystal system: orthorhombic
* SG: Amm2
* energy relative to the elements, uncorrected: -0.806 eV per atom

Cell: 3.9569 4.3863 10.8373 Å, 90.00 90.00 90.00°
Positions (direct):
Nd  0.0000  0.0000  0.0000
Nd  0.0000  0.5000  0.5000
Dy  0.5000  0.0000  0.2782
Dy  0.5000  0.5000  0.7782
Si  0.0000  0.0000  0.7211
Si  0.0000  0.5000  0.2211
Ge  0.5000  0.0000  0.5639
Ge  0.5000  0.5000  0.0639



No. 2
Here is an optimized crystal structure of Zn2Ag2F7 from the Alexandria database. Energies are from PBE-GGA.

* energy: -81.15 eV for the cell shown
* magnetic moment: 1.08 μB/f.u.
* crystal system: cubic
* energy relative to the lowest polymorph listed for this composition: 0.000 eV/atom
* SG: Fd-3m
* energy relative to the elements, uncorrected: -1.748 eV per atom

Cell: 7.4793 7.4793 7.4793 Å, 60.00 60.00 60.00°
Positions (direct):
Zn  0.0000  0.0000  0.0000
Zn  0.0000  0.0000  0.5000
Zn  0.0000  0.5000  0.0000
Zn  0.5000  0.0000  0.0000
Ag  0.0000  0.5000  0.5000
Ag  0.5000  0.0000  0.5000
Ag  0.5000  0.5000  0.0000
Ag  0.5000  0.5000  0.5000
F  0.0797  0.0797  0.6703
F  0.0797  0.6703  0.0797
F  0.0797  0.6703  0.6703
F  0.3297  0.3297  0.9203
F  0.3297  0.9203  0.3297
F  0.3297  0.9203  0.9203
F  0.3750  0.3750  0.3750
F  0.6250  0.6250  0.6250
F  0.6703  0.0797  0.0797
F  0.6703  0.0797  0.6703
F  0.6703  0.6703  0.0797
F  0.9203  0.3297  0.3297
F  0.9203  0.3297  0.9203
F  0.9203  0.9203  0.3297



No. 3
Here is an optimized crystal structure of Pt2Au2F from the Alexandria database. Energies are from PBE-GGA.

* energy: -36.67 eV for the cell shown
* magnetic moment: 0.00 μB/f.u.
* crystal system: tetragonal
* energy relative to the lowest polymorph listed for this composition: 0.305 eV/atom
* SG: I4/mmm
* energy relative to the elements, uncorrected: 0.435 eV per atom

Cell: 3.9636 3.9636 12.2938 Å, 90.00 90.00 90.00°
Positions (direct):
Pt  0.0000  0.0000  0.1002
Pt  0.0000  0.0000  0.8998
Pt  0.5000  0.5000  0.3998
Pt  0.5000  0.5000  0.6002
Au  0.0000  0.5000  0.2500
Au  0.0000  0.5000  0.7500
Au  0.5000  0.0000  0.2500
Au  0.5000  0.0000  0.7500
F  0.0000  0.0000  0.5000
F  0.5000  0.5000  0.0000